No. 1
DFT (GGA-PBE) results for crystalline BaAs4Pd5 at its relaxed geometry. Values from VASP.

Cell and atoms, written as Quantum ESPRESSO input:
```
&SYSTEM
  ibrav = 0, nat = 20, ntyp = 3
/
ATOMIC_SPECIES
Ba 137.33 Ba.upf
As 74.92 As.upf
Pd 106.42 Pd.upf
CELL_PARAMETERS angstrom
7.3495 0.0000 0.0000
0.0000 12.1426 0.0000
0.0000 0.0000 4.5662
ATOMIC_POSITIONS crystal
Ba 0.2500 0.2500 0.0823
Ba 0.7500 0.7500 0.9177
As 0.0760 0.7500 0.4558
As 0.2500 0.5307 0.7655
As 0.2500 0.9693 0.7655
As 0.4240 0.7500 0.4558
As 0.5760 0.2500 0.5442
As 0.7500 0.0307 0.2345
As 0.7500 0.4693 0.2345
As 0.9240 0.2500 0.5442
Pd 0.0548 0.5609 0.2453
Pd 0.0548 0.9391 0.2453
Pd 0.2500 0.7500 0.9635
Pd 0.4452 0.5609 0.2453
Pd 0.4452 0.9391 0.2453
Pd 0.5548 0.0609 0.7547
Pd 0.5548 0.4391 0.7547
Pd 0.7500 0.2500 0.0365
Pd 0.9452 0.0609 0.7547
Pd 0.9452 0.4391 0.7547
```

Results
magnetization: 0.0 μB per formula unit
formation enthalpy at 0 K: -4.92 eV/f.u.
DFT total energy: -102.81 eV per cell

***

No. 2
DFT (GGA-PBE) results for crystalline CaScSi2 at its relaxed geometry. Values from VASP.

Cell and atoms, written as Quantum ESPRESSO input:
```
&SYSTEM
  ibrav = 0, nat = 4, ntyp = 3
/
ATOMIC_SPECIES
Ca 40.08 Ca.upf
Sc 44.96 Sc.upf
Si 28.09 Si.upf
CELL_PARAMETERS angstrom
-2.0257 2.0257 4.9890
2.0257 -2.0257 4.9890
2.0257 2.0257 -4.9890
ATOMIC_POSITIONS crystal
Ca 0.0000 0.0000 0.0000
Sc 0.2500 0.7500 0.5000
Si 0.5000 0.5000 0.0000
Si 0.7500 0.2500 0.5000
```

Results
magnetization: 0.0 μB per formula unit
DFT total energy: -20.13 eV per cell
raw formation energy: -238 meV per atom
E above lowest polymorph: 213 meV/atom

***

What is the formula in the second record?
CaScSi2

***

The lowest DFT total energy belongs to which entry?
BaAs4Pd5